# 1
Material: U2Pa3S8
Method: DFT, GGA-PBE
State: optimized geometry

a = 4.720 Å, b = 9.300 Å, c = 8.072 Å
α = 125.16°, β = 90.00°, γ = 90.00°
Last column: magnetic moment on the atom in μB.
Sites, in units of the cell vectors:
1 S 0.500 0.363 0.244  -0.04
2 S 0.000 0.881 0.762  -0.04
3 S 0.000 0.373 0.746  -0.04
4 S 0.500 0.119 0.756  -0.04
5 S 0.500 0.637 0.756  -0.04
6 S 0.000 0.627 0.254  -0.04
7 S 0.000 0.119 0.238  -0.04
8 S 0.500 0.881 0.244  -0.04
9 Pa 0.000 0.269 0.000  0.64
10 Pa 0.500 0.000 0.000  0.72
11 Pa 0.000 0.731 0.000  0.64
12 U 0.500 0.267 0.533  2.48
13 U 0.500 0.733 0.467  2.48

## Properties
formation energy without anion corrections	-1.464	eV/atom
energy above the lowest structure with this stoichiometry	0	meV per atom

# 2
Material: Tl2Ag2Pb
Method: DFT, GGA-PBE
State: optimized geometry

a = 8.831 Å, b = 8.831 Å, c = 3.249 Å
α = 90.00°, β = 90.00°, γ = 90.00°
Sites, in units of the cell vectors:
1 Ag 0.158 0.658 0.500
2 Ag 0.842 0.342 0.500
3 Ag 0.342 0.158 0.500
4 Ag 0.658 0.842 0.500
5 Pb 0.000 0.000 0.000
6 Pb 0.500 0.500 0.000
7 Tl 0.361 0.861 0.000
8 Tl 0.861 0.639 0.000
9 Tl 0.639 0.139 0.000
10 Tl 0.139 0.361 0.000

## Properties
energy above the lowest structure with this stoichiometry	60	meV per atom

# 3
Material: PPb6S3Cl2
Method: DFT, GGA-PBE
State: optimized geometry

a = 7.500 Å, b = 7.500 Å, c = 7.520 Å
α = 99.76°, β = 99.76°, γ = 120.78°
Sites, in units of the cell vectors:
1 Pb 0.087 0.390 0.261
2 Pb 0.913 0.610 0.739
3 Pb 0.226 0.226 0.746
4 Pb 0.390 0.087 0.261
5 Pb 0.774 0.774 0.254
6 Pb 0.610 0.913 0.739
7 S 0.841 0.159 0.500
8 S 0.500 0.500 0.500
9 S 0.159 0.841 0.500
10 Cl 0.672 0.328 0.000
11 Cl 0.328 0.672 0.000
12 P 0.000 0.000 0.000

## Properties
formation energy without anion corrections	-0.496	eV/atom

# 4
Material: BaZnGaP2
Method: DFT, GGA-PBE
State: optimized geometry

a = 5.655 Å, b = 6.490 Å, c = 5.655 Å
α = 90.00°, β = 90.00°, γ = 90.00°
Sites, in units of the cell vectors:
1 P 0.500 0.000 0.000
2 P 0.000 0.000 0.500
3 Ga 0.000 0.500 0.000
4 Zn 0.500 0.500 0.500
5 Ba 0.000 0.000 0.000

## Properties
energy above the lowest structure with this stoichiometry	1565	meV per atom

# 5
Material: Na2ScAgF6
Method: DFT, GGA-PBE
State: optimized geometry

a = 5.816 Å, b = 5.815 Å, c = 6.124 Å
α = 61.65°, β = 61.63°, γ = 60.00°
Last column: magnetic moment on the atom in μB.
Sites, in units of the cell vectors:
1 F 0.570 0.232 0.233  0.00
2 F 0.396 0.684 0.778  -0.01
3 F 0.141 0.396 0.778  -0.01
4 F 0.965 0.570 0.233  0.00
5 F 0.684 0.141 0.778  -0.01
6 F 0.232 0.965 0.233  0.00
7 Ag 0.805 0.805 0.584  -0.10
8 Sc 0.321 0.321 0.037  0.00
9 Na 0.529 0.529 0.412  0.00
10 Na 0.018 0.018 0.947  0.00

## Properties
formation energy without anion corrections	-2.898	eV/atom
energy above the lowest structure with this stoichiometry	0	meV per atom

# 6
Material: MgP2Cl
Method: DFT, GGA-PBE
State: optimized geometry

a = 5.765 Å, b = 5.765 Å, c = 5.765 Å
α = 146.25°, β = 101.30°, γ = 88.43°
Sites, in units of the cell vectors:
1 Cl 0.441 0.441 0.000
2 P 0.989 0.989 0.000
3 P 0.826 0.326 0.500
4 Mg 0.243 0.743 0.500

## Properties
formation energy without anion corrections	-0.389	eV/atom
energy above the lowest structure with this stoichiometry	186	meV per atom

Please write out number 3 again, unchanged.
Material: PPb6S3Cl2
Method: DFT, GGA-PBE
State: optimized geometry

a = 7.500 Å, b = 7.500 Å, c = 7.520 Å
α = 99.76°, β = 99.76°, γ = 120.78°
Sites, in units of the cell vectors:
1 Pb 0.087 0.390 0.261
2 Pb 0.913 0.610 0.739
3 Pb 0.226 0.226 0.746
4 Pb 0.390 0.087 0.261
5 Pb 0.774 0.774 0.254
6 Pb 0.610 0.913 0.739
7 S 0.841 0.159 0.500
8 S 0.500 0.500 0.500
9 S 0.159 0.841 0.500
10 Cl 0.672 0.328 0.000
11 Cl 0.328 0.672 0.000
12 P 0.000 0.000 0.000

## Properties
formation energy without anion corrections	-0.496	eV/atom